ZnNi2Ir: optimized geometry, GGA-PBE.

Results
Magnetic moment: 0.00 Bohr magnetons per cell
DFT formation energy: -0.107 eV/atom
Crystal system: orthorhombic
ρ: 12.43 Mg/m³
VASP energy: -22.12 eV per cell

Cell: 2.6533 4.2362 4.4562 Å, 90.00 90.00 90.00°
Last column: nearest neighbours and their distance in Å.
Atoms (fractional coordinates):
1 Zn 0.0000 0.0000 0.0000  8 Ni 2.57-2.62, 2 Zn 2.65, 2 Ir 2.68
2 Ni 0.5000 0.0000 0.4934  4 Zn 2.57-2.62, 4 Ir 2.57, 4 Ni 2.64-2.65
3 Ni 0.5000 0.5000 0.1403  4 Ir 2.55-2.63, 4 Zn 2.58, 4 Ni 2.64-2.65
4 Ir 0.0000 0.5000 0.6299  8 Ni 2.55-2.63, 2 Ir 2.65, 2 Zn 2.68